P.
AlH2Rh: relaxed, GGA-PBE.

Calculated values
Total magnetization = 0.00 μB/f.u.
SG = R-3m, No. 166
ρ = 5.840 g cm⁻³
Density of states at the Fermi level = 0.240 states/eV per atom

a = 3.0972 Å, b = 3.0972 Å, c = 4.8561 Å
α = 71.40°, β = 71.40°, γ = 60.00°
Last column: nearest neighbours and their distance in Å.
Fractional positions:
H 0.8610 0.8610 0.4171  3 Rh 1.83, 1 Al 1.88, 3 H 1.94
H 0.1390 0.1390 0.5829  3 Rh 1.83, 1 Al 1.88, 3 H 1.94
Rh 0.5000 0.5000 0.5000  6 H 1.83
Al 0.0000 0.0000 0.0000  2 H 1.88

Q.
AlH2Rh: relaxed, GGA-PBE.

Calculated values
Total magnetization = 0.00 μB/f.u.
SG = I-42d, No. 122
ρ = 6.077 g cm⁻³
Density of states at the Fermi level = 0.002 states/eV per atom

a = 3.9927 Å, b = 3.9927 Å, c = 5.3307 Å
α = 68.01°, β = 68.01°, γ = 90.00°
Last column: nearest neighbours and their distance in Å.
Fractional positions:
H 0.8750 0.8928 0.7500  2 Rh 1.77, 2 Al 1.85
H 0.3750 0.3572 0.7500  2 Rh 1.77, 2 Al 1.85
H 0.1072 0.6250 0.2500  2 Rh 1.77, 2 Al 1.85
H 0.6428 0.1250 0.2500  2 Rh 1.77, 2 Al 1.85
Rh 0.7500 0.2500 0.5000  4 H 1.77
Rh 0.0000 0.0000 0.0000  4 H 1.77
Al 0.2500 0.7500 0.5000  4 H 1.85
Al 0.5000 0.5000 0.0000  4 H 1.85

R.
AlH2Rh: relaxed, GGA-PBE.

Calculated values
Total magnetization = 0.00 μB/f.u.
SG = Fm-3m, No. 225
ρ = 6.184 g cm⁻³
Density of states at the Fermi level = 0.477 states/eV per atom

a = 3.6861 Å, b = 3.6861 Å, c = 3.6861 Å
α = 60.00°, β = 60.00°, γ = 60.00°
Last column: nearest neighbours and their distance in Å.
Fractional positions:
H 0.2500 0.2500 0.2500  4 Al 2.26, 4 Rh 2.26
H 0.7500 0.7500 0.7500  4 Rh 2.26, 4 Al 2.26
Rh 0.5000 0.5000 0.5000  8 H 2.26
Al 0.0000 0.0000 0.0000  8 H 2.26

Most stable: Q (next structure +0.073 eV/atom)

P.
AlHRh3: relaxed, GGA-PBE.

Calculated values
Total magnetization = 0.00 μB/f.u.
SG = Pm-3m, No. 221
ρ = 9.503 g cm⁻³
Density of states at the Fermi level = 0.824 states/eV per atom

a = 3.8894 Å, b = 3.8894 Å, c = 3.8894 Å
α = 90.00°, β = 90.00°, γ = 90.00°
Last column: nearest neighbours and their distance in Å.
Fractional positions:
Rh 0.0000 0.0000 0.5000  2 H 1.94
Rh 0.5000 0.0000 0.0000  2 H 1.94
Rh 0.0000 0.5000 0.0000  2 H 1.94
Al 0.5000 0.5000 0.5000  12 Rh 2.75
H 0.0000 0.0000 0.0000  6 Rh 1.94

Q.
AlHRh3: relaxed, GGA-PBE.

Calculated values
Total magnetization = 2.81 μB/f.u.
SG = Pm-3m, No. 221
ρ = 6.150 g cm⁻³
Density of states at the Fermi level = 0.933 states/eV per atom

a = 4.4966 Å, b = 4.4966 Å, c = 4.4966 Å
α = 90.00°, β = 90.00°, γ = 90.00°
Last column: nearest neighbours and their distance in Å.
Fractional positions:
Rh 0.0000 0.5000 0.0000  2 Al 2.25
Rh 0.5000 0.0000 0.0000  2 Al 2.25
Rh 0.0000 0.0000 0.5000  2 Al 2.25
Al 0.0000 0.0000 0.0000  6 Rh 2.25
H 0.5000 0.5000 0.5000  12 Rh 3.18

Most stable: P (next structure +1.703 eV/atom)